The following is a PBE with a Hubbard U calculation of MnP2BrO after structural relaxation, from Alexandria via LeMat-Bulk.

The structure in CIF format:
```
data_MnP2BrO
_chemical_formula_sum 'Mn1 P2 Br1 O1'
_cell_length_a 5.000
_cell_length_b 5.000
_cell_length_c 3.731
_cell_angle_alpha 90.00
_cell_angle_beta 90.00
_cell_angle_gamma 90.00
_space_group_name_H-M_alt 'P 1'
_space_group_IT_number 1
_space_group_name_Hall 'P 1'
loop_
_atom_site_label
_atom_site_fract_x
_atom_site_fract_y
_atom_site_fract_z
_atom_site_occupancy
P1 0.000 0.500 0.000 1
P2 0.500 0.000 0.000 1
Br1 0.000 0.000 0.000 1
O1 0.000 0.000 0.500 1
Mn1 0.500 0.500 0.500 1
```

Calculated values
The density of states at the Fermi level comes out at 0.648 states/eV/atom. The calculation puts the calculated volume at 93 Å³/cell. Its uncorrected energy is -3.959 eV/atom. The energy above the lowest structure with this stoichiometry comes out at 0.387 eV/atom.